Record 1
# AlBi2Pd8 GGA-PBE relaxed
# Energy of formation in eV/f.u.: -3.991
# Energy above the most stable polymorph in this dataset in meV per atom: 0.0
# Volume in Å³/cell: 381.0
# Theoretical density in g/cm³: 11.30
# E in eV per atom: -5.19
# Total magnetic moment in μB/cell: 0.000
# DOS at the Fermi energy in states/eV per atom: 0.40
data_AlBi2Pd8
_chemical_formula_sum 'Al2 Bi4 Pd16'
_space_group_name_H-M_alt 'C 1 2/m 1'
_space_group_IT_number 12
_cell_length_a 14.945
_cell_length_b 4.296
_cell_length_c 6.149
_cell_angle_alpha 90.00
_cell_angle_beta 105.16
_cell_angle_gamma 90.00
loop_
_space_group_symop_operation_xyz
'x,y,z'
'-x,-y,-z'
'-x,y,-z'
'x,-y,z'
'x+1/2,y+1/2,z'
'-x+1/2,-y+1/2,-z'
'-x+1/2,y+1/2,-z'
'x+1/2,-y+1/2,z'
loop_
_atom_site_label
_atom_site_type_symbol
_atom_site_fract_x
_atom_site_fract_y
_atom_site_fract_z
Al1 Al 0.000 0.000 0.000
Bi1 Bi 0.200 0.500 0.668
Pd1 Pd 0.029 0.500 0.767
Pd2 Pd 0.081 0.000 0.431
Pd3 Pd 0.153 0.500 0.203
Pd4 Pd 0.161 0.000 0.922

Record 2
# YCdGePd GGA-PBE relaxed
# Energy of formation in eV/f.u.: -2.101
# Volume in Å³/cell: 324.0
# Theoretical density in g/cm³: 7.80
# E in eV per atom: -4.82
# Total magnetic moment in μB/cell: 0.000
# DOS at the Fermi energy in states/eV per atom: 0.53
data_YCdGePd
_chemical_formula_sum 'Y4 Cd4 Ge4 Pd4'
_space_group_name_H-M_alt 'F -4 3 m'
_space_group_IT_number 216
_space_group_name_Hall 'F -4 2 3'
_cell_length_a 6.868
_cell_length_b 6.868
_cell_length_c 6.868
_cell_angle_alpha 90.00
_cell_angle_beta 90.00
_cell_angle_gamma 90.00
loop_
_atom_site_label
_atom_site_type_symbol
_atom_site_fract_x
_atom_site_fract_y
_atom_site_fract_z
Y1 Y 0.000 0.000 0.000
Cd1 Cd 0.000 0.000 0.500
Ge1 Ge 0.250 0.250 0.750
Pd1 Pd 0.250 0.250 0.250

Record 3
# Sm3AlZn GGA-PBE relaxed
# Energy of formation in eV/f.u.: -0.477
# Energy above the most stable polymorph in this dataset in meV per atom: 162.3
# Volume in Å³/cell: 286.1
# Theoretical density in g/cm³: 6.31
# E in eV per atom: -3.93
# Total magnetic moment in μB/cell: 0.000
# DOS at the Fermi energy in states/eV per atom: 0.98
data_Sm3AlZn
_chemical_formula_sum 'Sm6 Al2 Zn2'
_space_group_name_H-M_alt 'P 63/m m c'
_space_group_IT_number 194
_space_group_name_Hall '-P 6c 2c'
_cell_length_a 8.1693
_cell_length_b 8.1693
_cell_length_c 4.9503
_cell_angle_alpha 90.00
_cell_angle_beta 90.00
_cell_angle_gamma 120.00
loop_
_atom_site_label
_atom_site_type_symbol
_atom_site_fract_x
_atom_site_fract_y
_atom_site_fract_z
Sm1 Sm 0.1932 0.3865 0.2500
Al1 Al 0.3333 0.6667 0.7500
Zn1 Zn 0.0000 0.0000 0.0000

Q: Which formula does entry 2 have?
A: YCdGePd